i:
Here is crystalline KIn3Hg3 at its relaxed geometry from Alexandria. Energies are from PBE-GGA.

Calculated values
total magnetization = 0.0 μB per formula unit
crystal system = cubic

Cell: 8.105 8.105 8.105 Å, 90.00 90.00 90.00°
Atoms (fractional coordinates):
In1 0.000 0.250 0.500
In2 0.500 0.000 0.250
In3 0.750 0.500 0.000
In4 0.500 0.000 0.750
In5 0.250 0.500 0.000
In6 0.000 0.750 0.500
Hg1 0.500 0.250 0.000
Hg2 0.000 0.500 0.250
Hg3 0.750 0.000 0.500
Hg4 0.250 0.000 0.500
Hg5 0.500 0.750 0.000
Hg6 0.000 0.500 0.750
K1 0.500 0.500 0.500
K2 0.000 0.000 0.000

***

ii:
Here is crystalline KIn3Hg3 at its relaxed geometry from Alexandria. Energies are from PBE-GGA.

Calculated values
total magnetization = 0.0 μB per formula unit
crystal system = monoclinic

Cell: 4.805 8.979 11.101 Å, 121.06 90.00 90.00°
Atoms (fractional coordinates):
In1 0.750 0.267 0.245
In2 0.750 0.849 0.994
In3 0.250 0.151 0.006
In4 0.250 0.993 0.223
In5 0.250 0.733 0.755
In6 0.750 0.007 0.777
Hg1 0.750 0.634 0.533
Hg2 0.750 0.414 0.033
Hg3 0.250 0.366 0.467
Hg4 0.750 0.954 0.383
Hg5 0.250 0.046 0.617
Hg6 0.250 0.586 0.967
K1 0.250 0.630 0.303
K2 0.750 0.370 0.697

***

iii:
Here is crystalline KIn3Hg3 at its relaxed geometry from Alexandria. Energies are from PBE-GGA.

Calculated values
total magnetization = 0.0 μB per formula unit
crystal system = trigonal

Cell: 8.934 8.934 8.119 Å, 56.62 56.62 60.00°
Atoms (fractional coordinates):
Hg1 0.785 0.327 0.843
Hg2 0.045 0.785 0.843
Hg3 0.327 0.045 0.843
Hg4 0.673 0.955 0.157
Hg5 0.955 0.215 0.157
Hg6 0.215 0.673 0.157
K1 0.336 0.336 0.992
K2 0.664 0.664 0.008
In1 0.775 0.127 0.623
In2 0.475 0.775 0.623
In3 0.873 0.525 0.377
In4 0.127 0.475 0.623
In5 0.525 0.225 0.377
In6 0.225 0.873 0.377

***

The calculated energies rank the structures as follows, beginning with the most stable: ii, iii, i.

***

i:
Here is crystalline KInHg at its relaxed geometry from Alexandria. Energies are from PBE-GGA.

Calculated values
total magnetization = 0.0 μB per formula unit
crystal system = hexagonal

Cell: 5.355 5.355 3.846 Å, 90.00 90.00 120.00°
Atoms (fractional coordinates):
K1 0.333 0.667 0.667
Hg1 0.000 0.000 0.166
In1 0.667 0.333 0.167

***

ii:
Here is crystalline KInHg at its relaxed geometry from Alexandria. Energies are from PBE-GGA.

Calculated values
total magnetization = 0.0 μB per formula unit
crystal system = cubic

Cell: 5.372 5.372 5.372 Å, 60.00 60.00 60.00°
Atoms (fractional coordinates):
Hg1 0.750 0.750 0.750
K1 0.500 0.500 0.500
In1 0.000 0.000 0.000

***

iii:
Here is crystalline KInHg at its relaxed geometry from Alexandria. Energies are from PBE-GGA.

Calculated values
total magnetization = 0.0 μB per formula unit
crystal system = monoclinic

Cell: 5.069 8.402 13.694 Å, 92.55 90.00 90.00°
Atoms (fractional coordinates):
K1 0.750 0.648 0.070
K2 0.750 0.507 0.378
K3 0.250 0.352 0.930
K4 0.250 0.001 0.710
K5 0.250 0.493 0.622
K6 0.750 0.999 0.290
Hg1 0.250 0.713 0.245
Hg2 0.250 0.202 0.420
Hg3 0.750 0.287 0.755
Hg4 0.750 0.234 0.097
Hg5 0.750 0.798 0.580
Hg6 0.250 0.766 0.903
In1 0.250 0.846 0.463
In2 0.750 0.669 0.790
In3 0.250 0.986 0.084
In4 0.250 0.331 0.210
In5 0.750 0.014 0.916
In6 0.750 0.154 0.537

***

iv:
Here is crystalline KInHg at its relaxed geometry from Alexandria. Energies are from PBE-GGA.

Calculated values
total magnetization = 0.0 μB per formula unit
crystal system = monoclinic

Cell: 5.237 5.237 8.248 Å, 90.06 90.07 60.05°
Atoms (fractional coordinates):
K1 0.333 0.833 0.628
K2 0.667 0.167 0.372
In1 0.667 0.167 0.921
In2 0.333 0.833 0.079
Hg1 0.000 0.500 0.201
Hg2 0.000 0.500 0.799

***

The calculated energies rank the structures as follows, beginning with the most stable: iii, i, iv, ii.

***

i:
Here is crystalline K2InHg at its relaxed geometry from Alexandria. Energies are from PBE-GGA.

Calculated values
total magnetization = 0.0 μB per formula unit
crystal system = trigonal

Cell: 11.612 11.612 11.612 Å, 19.70 19.70 19.70°
Atoms (fractional coordinates):
K1 0.998 0.998 0.998
K2 0.502 0.502 0.502
Hg1 0.250 0.250 0.250
In1 0.750 0.750 0.750

***

ii:
Here is crystalline K2InHg at its relaxed geometry from Alexandria. Energies are from PBE-GGA.

Calculated values
total magnetization = 0.0 μB per formula unit
crystal system = monoclinic

Cell: 5.193 6.952 9.376 Å, 80.52 73.92 68.07°
Atoms (fractional coordinates):
In1 0.069 0.763 0.098
In2 0.566 0.917 0.952
K1 0.817 0.341 0.024
K2 0.428 0.434 0.709
K3 0.209 0.243 0.340
K4 0.818 0.839 0.525
Hg1 0.515 0.661 0.310
Hg2 0.121 0.018 0.741

***

The calculated energies rank the structures as follows, beginning with the most stable: ii, i.

***

i:
Here is crystalline K2InHg at its relaxed geometry from Alexandria. Energies are from PBE-GGA.

Calculated values
total magnetization = 0.0 μB per formula unit
crystal system = monoclinic

Cell: 4.660 4.279 8.685 Å, 60.04 90.00 90.00°
Atoms (fractional coordinates):
K1 0.000 0.502 0.498
K2 0.000 0.998 0.002
In1 0.500 0.750 0.750
Hg1 0.500 0.250 0.250

***

ii:
Here is crystalline K2InHg at its relaxed geometry from Alexandria. Energies are from PBE-GGA.

Calculated values
total magnetization = 0.0 μB per formula unit
crystal system = trigonal

Cell: 3.969 3.969 11.651 Å, 80.19 80.19 60.00°
Atoms (fractional coordinates):
In1 0.500 0.500 0.500
K1 0.081 0.081 0.756
K2 0.252 0.252 0.244
Hg1 0.667 0.667 0.000

***

The calculated energies rank the structures as follows, beginning with the most stable: i, ii.

***

i:
Here is crystalline K2InHg at its relaxed geometry from Alexandria. Energies are from PBE-GGA.

Calculated values
total magnetization = 0.0 μB per formula unit
crystal system = orthorhombic

Cell: 4.046 4.075 9.818 Å, 90.00 90.00 90.00°
Atoms (fractional coordinates):
K1 0.000 0.000 0.933
K2 0.500 0.500 0.324
Hg1 0.000 0.000 0.552
In1 0.500 0.500 0.691

***

ii:
Here is crystalline K2InHg at its relaxed geometry from Alexandria. Energies are from PBE-GGA.

Calculated values
total magnetization = 0.0 μB per formula unit
crystal system = monoclinic

Cell: 8.852 6.465 3.703 Å, 89.65 65.84 124.56°
Atoms (fractional coordinates):
Hg1 0.000 0.500 0.500
K1 0.000 0.000 0.000
K2 0.500 0.000 0.500
In1 0.500 0.500 0.000

***

The calculated energies rank the structures as follows, beginning with the most stable: i, ii.

***

i:
Here is crystalline KIn2Hg2 at its relaxed geometry from Alexandria. Energies are from PBE-GGA.

Calculated values
total magnetization = 0.0 μB per formula unit
crystal system = orthorhombic

Cell: 4.929 9.172 13.405 Å, 90.00 90.00 90.00°
Atoms (fractional coordinates):
In1 0.250 0.662 0.363
In2 0.250 0.162 0.137
In3 0.750 0.411 0.051
In4 0.750 0.911 0.449
In5 0.750 0.338 0.637
In6 0.250 0.089 0.551
In7 0.750 0.838 0.863
In8 0.250 0.589 0.949
Hg1 0.750 0.101 0.005
Hg2 0.250 0.399 0.505
Hg3 0.750 0.510 0.822
Hg4 0.750 0.010 0.678
Hg5 0.750 0.601 0.495
Hg6 0.250 0.490 0.178
Hg7 0.250 0.990 0.322
Hg8 0.250 0.899 0.995
K1 0.750 0.786 0.171
K2 0.750 0.286 0.329
K3 0.250 0.714 0.671
K4 0.250 0.214 0.829

***

ii:
Here is crystalline KIn2Hg2 at its relaxed geometry from Alexandria. Energies are from PBE-GGA.

Calculated values
total magnetization = 0.0 μB per formula unit
crystal system = tetragonal

Cell: 9.273 9.273 3.373 Å, 90.00 90.00 90.00°
Atoms (fractional coordinates):
K1 0.500 0.500 0.000
K2 0.000 0.000 0.000
In1 0.128 0.372 0.000
In2 0.372 0.872 0.000
In3 0.628 0.128 0.000
In4 0.872 0.628 0.000
Hg1 0.166 0.666 0.500
Hg2 0.334 0.166 0.500
Hg3 0.834 0.334 0.500
Hg4 0.666 0.834 0.500

***

The calculated energies rank the structures as follows, beginning with the most stable: i, ii.

***

i:
Here is crystalline KIn2Hg2 at its relaxed geometry from Alexandria. Energies are from PBE-GGA.

Calculated values
total magnetization = 0.0 μB per formula unit
crystal system = tetragonal

Cell: 5.472 5.472 6.579 Å, 65.42 65.42 90.00°
Atoms (fractional coordinates):
In1 0.362 0.362 0.276
In2 0.638 0.638 0.724
K1 0.000 0.000 0.000
Hg1 0.250 0.750 0.500
Hg2 0.750 0.250 0.500

***

ii:
Here is crystalline KIn2Hg2 at its relaxed geometry from Alexandria. Energies are from PBE-GGA.

Calculated values
total magnetization = 0.0 μB per formula unit
crystal system = tetragonal

Cell: 4.760 4.760 7.491 Å, 71.47 71.47 90.00°
Atoms (fractional coordinates):
Hg1 0.609 0.609 0.783
Hg2 0.391 0.391 0.217
K1 0.000 0.000 0.000
In1 0.250 0.750 0.500
In2 0.750 0.250 0.500

***

The calculated energies rank the structures as follows, beginning with the most stable: ii, i.

***

i:
Here is crystalline K3InHg at its relaxed geometry from Alexandria. Energies are from PBE-GGA.

Calculated values
total magnetization = 0.0 μB per formula unit
crystal system = monoclinic

Cell: 8.576 8.576 8.389 Å, 107.28 119.01 103.59°
Atoms (fractional coordinates):
Hg1 0.377 0.219 0.595
Hg2 0.623 0.781 0.405
K1 0.728 0.446 0.174
K2 0.835 0.017 0.232
K3 0.272 0.554 0.826
K4 0.785 0.603 0.768
K5 0.215 0.397 0.232
K6 0.165 0.983 0.768
In1 0.674 0.070 0.744
In2 0.326 0.930 0.256

***

ii:
Here is crystalline K3InHg at its relaxed geometry from Alexandria. Energies are from PBE-GGA.

Calculated values
total magnetization = 0.0 μB per formula unit
crystal system = cubic

Cell: 6.486 6.486 6.486 Å, 90.00 90.00 90.00°
Atoms (fractional coordinates):
K1 0.000 0.500 0.000
K2 0.000 0.000 0.500
K3 0.500 0.000 0.000
Hg1 0.000 0.000 0.000
In1 0.500 0.500 0.500

***

iii:
Here is crystalline K3InHg at its relaxed geometry from Alexandria. Energies are from PBE-GGA.

Calculated values
total magnetization = 0.0 μB per formula unit
crystal system = orthorhombic

Cell: 5.292 9.615 9.615 Å, 111.38 90.00 90.00°
Atoms (fractional coordinates):
K1 0.243 0.841 0.557
K2 0.743 0.108 0.892
K3 0.743 0.159 0.443
K4 0.243 0.443 0.159
K5 0.243 0.892 0.108
K6 0.743 0.557 0.841
Hg1 0.743 0.736 0.264
Hg2 0.243 0.264 0.736
In1 0.243 0.453 0.547
In2 0.743 0.547 0.453

***

The calculated energies rank the structures as follows, beginning with the most stable: iii, i, ii.

***

i:
Here is crystalline K2InHg2 at its relaxed geometry from Alexandria. Energies are from PBE-GGA.

Calculated values
total magnetization = 0.0 μB per formula unit
crystal system = tetragonal

Cell: 8.017 8.017 5.439 Å, 90.00 90.00 90.00°
Atoms (fractional coordinates):
Hg1 0.636 0.136 0.000
Hg2 0.136 0.364 0.000
Hg3 0.364 0.864 0.000
Hg4 0.864 0.636 0.000
In1 0.500 0.500 0.000
In2 0.000 0.000 0.000
K1 0.675 0.825 0.500
K2 0.325 0.175 0.500
K3 0.175 0.675 0.500
K4 0.825 0.325 0.500

***

ii:
Here is crystalline K2InHg2 at its relaxed geometry from Alexandria. Energies are from PBE-GGA.

Calculated values
total magnetization = 0.0 μB per formula unit
crystal system = tetragonal

Cell: 4.378 4.378 10.553 Å, 78.03 78.03 90.00°
Atoms (fractional coordinates):
K1 0.392 0.392 0.215
K2 0.608 0.608 0.785
Hg1 0.250 0.750 0.500
Hg2 0.750 0.250 0.500
In1 0.000 0.000 0.000

***

The calculated energies rank the structures as follows, beginning with the most stable: i, ii.

***

i:
Here is crystalline K2InHg2 at its relaxed geometry from Alexandria. Energies are from PBE-GGA.

Calculated values
total magnetization = 0.0 μB per formula unit
crystal system = orthorhombic

Cell: 4.854 6.801 6.801 Å, 60.75 69.06 69.06°
Atoms (fractional coordinates):
K1 0.701 0.800 0.300
K2 0.299 0.200 0.700
In1 0.500 0.500 0.000
Hg1 0.000 0.767 0.733
Hg2 0.000 0.233 0.267

***

ii:
Here is crystalline K2InHg2 at its relaxed geometry from Alexandria. Energies are from PBE-GGA.

Calculated values
total magnetization = 0.0 μB per formula unit
crystal system = tetragonal

Cell: 10.058 10.058 3.550 Å, 90.00 90.00 90.00°
Atoms (fractional coordinates):
Hg1 0.111 0.611 0.500
Hg2 0.889 0.389 0.500
Hg3 0.611 0.889 0.500
Hg4 0.389 0.111 0.500
K1 0.683 0.183 0.000
K2 0.817 0.683 0.000
K3 0.317 0.817 0.000
K4 0.183 0.317 0.000
In1 0.000 0.000 0.000
In2 0.500 0.500 0.000

***

The calculated energies rank the structures as follows, beginning with the most stable: i, ii.